Entry P
A plane-wave DFT calculation with PBE was carried out for crystalline HoTmTh2 at its relaxed geometry.

Properties
V: 31.29 Å³/atom
Magnetization: 0.00 Bohr magnetons per cell
DOS(E_F): 5.85 states/eV/f.u.

abc: 3.5563 3.5563 34.2838
angles: 90.00 90.00 120.00
With the nearest neighbours (Å) after each atom.
Space group R-3m (No. 166, hexagonal axes)
Inequivalent atoms, fractional coordinates:
Ho: 0.0000 0.0000 0.0000 (multiplicity 3)  6 Th 3.53, 6 Ho 3.56
Tm: 0.0000 0.0000 0.5000 (multiplicity 3)  6 Th 3.51, 6 Tm 3.56
Th: 0.0000 0.0000 0.2498 (multiplicity 6)  3 Tm 3.51, 3 Ho 3.53, 6 Th 3.56

=====

Entry Q
A plane-wave DFT calculation with PBE was carried out for crystalline HoTmTh2 at its relaxed geometry.

Properties
V: 31.49 Å³/atom
Magnetization: 0.00 Bohr magnetons per cell
DOS(E_F): 5.41 states/eV/f.u.

abc: 3.5464 3.5464 10.0163
angles: 90.00 90.00 90.00
With the nearest neighbours (Å) after each atom.
Space group P4/mmm (No. 123)
Inequivalent atoms, fractional coordinates:
Ho: 0.0000 0.0000 0.0000 (multiplicity 1)  4 Ho 3.55, 8 Th 3.55
Tm: 0.0000 0.0000 0.5000 (multiplicity 1)  8 Th 3.53, 4 Tm 3.55
Th: 0.5000 0.5000 0.2513 (multiplicity 2)  4 Tm 3.53, 4 Th 3.55, 4 Ho 3.55

=====

Going by the computed energies, the most stable comes first: entry P, entry Q.

=====

Entry P
A plane-wave DFT calculation with PBE was carried out for crystalline HoTmTh2 at its relaxed geometry.

Properties
V: 31.29 Å³/atom
Magnetization: 0.00 Bohr magnetons per cell
DOS(E_F): 6.34 states/eV/f.u.

abc: 6.0726 3.5616 6.1415
angles: 90.00 109.54 90.00
With the nearest neighbours (Å) after each atom.
Space group Pm (No. 6)
Inequivalent atoms, fractional coordinates:
Ho: 0.0000 0.0000 0.0000 (multiplicity 1)  6 Th 3.52-3.53, 4 Tm 3.55, 2 Ho 3.56
Tm: 0.9988 0.5000 0.4999 (multiplicity 1)  6 Th 3.52-3.53, 4 Ho 3.55, 2 Tm 3.56
Th: 0.4990 0.0000 0.5001 (multiplicity 1)  4 Tm 3.52, 2 Ho 3.52-3.53, 6 Th 3.55-3.56
Th: 0.4997 0.5000 0.9999 (multiplicity 1)  4 Ho 3.52, 2 Tm 3.52-3.53, 6 Th 3.55-3.56

=====

Entry Q
A plane-wave DFT calculation with PBE was carried out for crystalline HoTmTh2 at its relaxed geometry.

Properties
V: 31.43 Å³/atom
Magnetization: 0.00 Bohr magnetons per cell
DOS(E_F): 6.32 states/eV/f.u.

abc: 3.5464 3.5464 34.6220
angles: 90.00 90.00 120.00
With the nearest neighbours (Å) after each atom.
Space group R3m (No. 160, hexagonal axes)
Inequivalent atoms, fractional coordinates:
Ho: 0.0000 0.0000 0.0000 (multiplicity 3)  6 Th 3.51-3.61, 6 Ho 3.55
Tm: 0.0000 0.0000 0.8301 (multiplicity 3)  6 Th 3.48-3.56, 6 Tm 3.55
Th: 0.0000 0.0000 0.4155 (multiplicity 3)  3 Tm 3.48, 3 Ho 3.51, 6 Th 3.55
Th: 0.0000 0.0000 0.5809 (multiplicity 3)  6 Th 3.55, 3 Tm 3.56, 3 Ho 3.61

=====

Going by the computed energies, the most stable comes first: entry P, entry Q.

=====

Entry P
A plane-wave DFT calculation with PBE was carried out for crystalline HoTm5Th2 at its relaxed geometry.

Properties
V: 31.45 Å³/atom
Magnetization: 0.00 Bohr magnetons per cell
DOS(E_F): 13.70 states/eV/f.u.

abc: 3.4870 11.0419 13.0693
angles: 90.00 90.00 90.00
With the nearest neighbours (Å) after each atom.
Space group Immm (No. 71)
Inequivalent atoms, fractional coordinates:
Ho: 0.0000 0.0000 0.0000 (multiplicity 2)  2 Ho 3.49, 4 Th 3.61, 8 Tm 3.83
Tm: 0.0000 0.2329 0.3698 (multiplicity 8)  3 Th 3.29-3.53, 7 Tm 3.40-3.60
Tm: 0.0000 0.5000 0.0000 (multiplicity 2)  2 Th 3.38, 10 Tm 3.49-3.54
Th: 0.0000 0.5000 0.2583 (multiplicity 4)  7 Tm 3.29-3.53, 2 Th 3.49, 2 Ho 3.61

=====

Entry Q
A plane-wave DFT calculation with PBE was carried out for crystalline HoTm5Th2 at its relaxed geometry.

Properties
V: 31.57 Å³/atom
Magnetization: 0.00 Bohr magnetons per cell
DOS(E_F): 15.17 states/eV/f.u.

abc: 6.4678 13.2504 11.7889
angles: 90.00 90.00 90.00
With the nearest neighbours (Å) after each atom.
Space group Imma (No. 74)
Inequivalent atoms, fractional coordinates:
Ho: 0.0000 0.2500 0.2035 (multiplicity 4)  7 Tm 3.28-3.52, 2 Ho 3.41
Tm: 0.0000 0.1177 0.9686 (multiplicity 8)  4 Tm 3.21-3.53, 1 Ho 3.28, 2 Th 3.51
Tm: 0.0000 0.2500 0.4850 (multiplicity 4)  4 Th 3.32-3.52, 1 Ho 3.32
Tm: 0.2500 0.0181 0.2500 (multiplicity 8)  4 Tm 3.23-3.53, 3 Th 3.37-3.55, 2 Ho 3.52
Th: 0.0000 0.0000 0.5000 (multiplicity 4)  10 Tm 3.32-3.61
Th: 0.2500 0.2500 0.7500 (multiplicity 4)  2 Th 3.23, 8 Tm 3.51-3.55

=====

Going by the computed energies, the most stable comes first: entry P, entry Q.

=====

Entry P
A plane-wave DFT calculation with PBE was carried out for crystalline Ho7TmTh2 at its relaxed geometry.

Properties
V: 39.28 Å³/atom
Magnetization: 0.00 Bohr magnetons per cell
DOS(E_F): 14.69 states/eV/f.u.

abc: 8.6542 16.6470 5.4527
angles: 90.00 90.00 90.00
With the nearest neighbours (Å) after each atom.
Space group Cmmm (No. 65)
Inequivalent atoms, fractional coordinates:
Ho: 0.0000 0.0000 0.0000 (multiplicity 2)  4 Ho 3.34, 2 Th 3.42
Ho: 0.0000 0.2954 0.5000 (multiplicity 4)  2 Th 3.11, 1 Tm 3.41
Ho: 0.1756 0.3914 0.0000 (multiplicity 8)  2 Ho 3.04-3.34, 1 Th 3.24
Tm: 0.0000 0.5000 0.5000 (multiplicity 2)  10 Ho 3.41-3.61
Th: 0.0000 0.2053 0.0000 (multiplicity 4)  7 Ho 3.11-3.45

=====

Entry Q
A plane-wave DFT calculation with PBE was carried out for crystalline Ho7TmTh2 at its relaxed geometry.

Properties
V: 31.20 Å³/atom
Magnetization: 0.00 Bohr magnetons per cell
DOS(E_F): 13.93 states/eV/f.u.

abc: 18.3247 3.5541 9.9653
angles: 90.00 105.95 90.00
With the nearest neighbours (Å) after each atom.
Space group C2/m (No. 12)
Inequivalent atoms, fractional coordinates:
Ho: 0.0000 0.0000 0.0000 (multiplicity 2)  12 Ho 3.53-3.57
Ho: 0.0996 0.5000 0.7993 (multiplicity 4)  8 Ho 3.51-3.57, 2 Tm 3.52, 2 Th 3.53
Ho: 0.1023 0.5000 0.3044 (multiplicity 4)  3 Th 3.48-3.49, 7 Ho 3.52-3.57, 2 Tm 3.53
Ho: 0.2011 0.0000 0.1046 (multiplicity 4)  2 Th 3.49, 10 Ho 3.51-3.57
Tm: 0.0000 0.0000 0.5000 (multiplicity 2)  2 Th 3.52, 8 Ho 3.52-3.53, 2 Tm 3.55
Th: 0.1998 0.0000 0.5998 (multiplicity 4)  7 Ho 3.48-3.53, 1 Tm 3.52, 4 Th 3.54-3.55

=====

Going by the computed energies, the most stable comes first: entry Q, entry P.

=====

Entry P
A plane-wave DFT calculation with PBE was carried out for crystalline Ho4Tm6Th at its relaxed geometry.

Properties
V: 31.01 Å³/atom
Magnetization: 0.00 Bohr magnetons per cell
DOS(E_F): 17.65 states/eV/f.u.

abc: 5.5805 9.6716 25.2844
angles: 90.00 90.00 90.00
With the nearest neighbours (Å) after each atom.
Space group Cmcm (No. 63)
Inequivalent atoms, fractional coordinates:
Ho: 0.0000 0.9995 0.1221 (multiplicity 8)  5 Tm 3.09-3.26
Ho: 0.0000 0.3331 0.0411 (multiplicity 8)  8 Tm 3.39-3.61
Tm: 0.0000 0.0000 0.0000 (multiplicity 4)  8 Ho 3.09-3.39
Tm: 0.0000 0.0006 0.7500 (multiplicity 4)  3 Th 3.22, 2 Ho 3.23
Tm: 0.0000 0.3328 0.1826 (multiplicity 8)  7 Tm 3.41-3.82, 4 Ho 3.57-3.58, 3 Th 3.65
Tm: 0.0000 0.3337 0.6018 (multiplicity 8)  7 Ho 3.26-3.61
Th: 0.0000 0.3339 0.7500 (multiplicity 4)  3 Tm 3.22

=====

Entry Q
A plane-wave DFT calculation with PBE was carried out for crystalline Ho4Tm6Th at its relaxed geometry.

Properties
V: 33.54 Å³/atom
Magnetization: 0.00 Bohr magnetons per cell
DOS(E_F): 17.30 states/eV/f.u.

abc: 7.5837 7.5837 12.8302
angles: 90.00 90.00 90.00
With the nearest neighbours (Å) after each atom.
Space group I-42m (No. 121)
Inequivalent atoms, fractional coordinates:
Ho: 0.1709 0.1709 0.4254 (multiplicity 8)  3 Tm 2.97-3.22, 2 Ho 3.22
Tm: 0.0000 0.5000 0.0000 (multiplicity 4)  4 Ho 2.97
Tm: 0.2474 0.2474 0.1824 (multiplicity 8)  4 Ho 3.22-3.55, 1 Th 3.54, 2 Tm 3.56
Th: 0.0000 0.0000 0.0000 (multiplicity 2)  8 Tm 3.54-3.79, 4 Ho 3.66

=====

Going by the computed energies, the most stable comes first: entry P, entry Q.